Record 1
This record from Alexandria via LeMat-Bulk describes a relaxed ScUFe2 crystal. The functional is PBE.

Unit cell a=5.3574 b=5.3574 c=4.5554 alpha=90.00 beta=90.00 gamma=103.79
With the nearest neighbours (Å) after each atom.
Positions (direct):
1 Sc 0.1232 0.8768 0.7500  8 Fe 2.66-2.72
2 Sc 0.8768 0.1232 0.2500  8 Fe 2.66-2.72
3 U 0.4028 0.5972 0.2500  4 Fe 2.61-2.76, 2 U 2.81
4 U 0.5972 0.4028 0.7500  4 Fe 2.61-2.76, 2 U 2.81
5 Fe 0.0749 0.3703 0.7500  2 U 2.61-2.76, 4 Sc 2.66-2.72, 2 Fe 2.88
6 Fe 0.3703 0.0749 0.2500  2 U 2.61-2.76, 4 Sc 2.66-2.72, 2 Fe 2.88
7 Fe 0.6297 0.9251 0.7500  2 U 2.61-2.76, 4 Sc 2.66-2.72, 2 Fe 2.88
8 Fe 0.9251 0.6297 0.2500  2 U 2.61-2.76, 4 Sc 2.66-2.72, 2 Fe 2.88

Results
Size of the total moment (μB per formula unit): 0.5
Energy of formation from the pure elements (eV/atom): -0.075
Space group: Cmcm, No. 63

=====

Record 2
This record from Alexandria via LeMat-Bulk describes a relaxed Ac3HoCu2O9 crystal. The functional is PBE.

Unit cell a=5.7176 b=5.7176 c=7.1551 alpha=90.00 beta=90.00 gamma=120.00
With the nearest neighbours (Å) after each atom.
Positions (direct):
1 Ac 0.0000 0.0000 0.0000  12 O 2.81-2.86
2 Ac 0.3333 0.6667 0.7001  9 O 2.71-2.86
3 Ac 0.6667 0.3333 0.2999  9 O 2.71-2.86
4 Ho 0.0000 0.0000 0.5000  6 O 2.15
5 Cu 0.3333 0.6667 0.1619  6 O 1.94-2.02
6 Cu 0.6667 0.3333 0.8381  6 O 1.94-2.02
7 O 0.0000 0.5000 0.0000  2 Cu 2.02
8 O 0.1707 0.3415 0.3138  1 Cu 1.94, 1 Ho 2.15
9 O 0.1707 0.8293 0.3138  1 Cu 1.94, 1 Ho 2.15
10 O 0.3415 0.1707 0.6862  1 Cu 1.94, 1 Ho 2.15
11 O 0.5000 0.0000 0.0000  2 Cu 2.02
12 O 0.5000 0.5000 0.0000  2 Cu 2.02
13 O 0.6585 0.8293 0.3138  1 Cu 1.94, 1 Ho 2.15
14 O 0.8293 0.1707 0.6862  1 Cu 1.94, 1 Ho 2.15
15 O 0.8293 0.6585 0.6862  1 Cu 1.94, 1 Ho 2.15

Results
Size of the total moment (μB per formula unit): 0.0
Space group: P-3m1, No. 164
Formation energy (no corrections) (meV/atom): -2376

=====

Record 3
This record from Alexandria via LeMat-Bulk describes a relaxed AlCuTeN2 crystal. The functional is PBE.

Unit cell a=3.8629 b=3.8629 c=5.8837 alpha=90.00 beta=90.00 gamma=90.00
With the nearest neighbours (Å) after each atom.
Positions (direct):
1 Al 0.0000 0.0000 0.0000  4 Te 2.73
2 Cu 0.5000 0.5000 0.5000  4 N 1.93
3 Te 0.5000 0.5000 0.0000  4 Al 2.73, 2 Cu 2.94
4 N 0.0000 0.5000 0.5000  2 Cu 1.93
5 N 0.5000 0.0000 0.5000  2 Cu 1.93

Results
Size of the total moment (μB per formula unit): 3.2
Space group: P4/mmm, No. 123
Formation energy (no corrections) (meV/atom): 1402
Energy relative to the lowest polymorph listed for this composition (meV/atom): 594